[1]
Below is an optimized crystal structure of NiMo, with properties calculated at the PBE level.

The value obtained for the size of the total moment is 0.00 μB/f.u. The calculation puts the formation energy at 0.06 eV/f.u. The uncorrected energy is -16.5 eV/f.u.

It has space group Cm (No. 8), with a = 9.873 Å, b = 2.613 Å, c = 6.439 Å, α = 90.00°, β = 104.78° and γ = 90.00°. The asymmetric unit holds Ni at (0.000, 0.000, 0.000), Ni at (0.065, 0.000, 0.612), Ni at (0.394, 0.000, 0.274), Mo at (0.163, 0.500, 0.326), Mo at (0.223, 0.500, 0.947) and Mo at (0.352, 0.000, 0.664).

***

[2]
Below is an optimized crystal structure of NiMo, with properties calculated at the PBE level.

The value obtained for the size of the total moment is 0.00 μB/f.u. The calculation puts the formation energy at 0.35 eV/f.u. The uncorrected energy is -16.3 eV/f.u.

It has space group P-3m1 (No. 164), with a = 2.7122 Å, b = 2.7122 Å, c = 8.5822 Å, α = 90.00°, β = 90.00° and γ = 120.00°. The asymmetric unit holds Ni at (0.3333, 0.6667, 0.3859) and Mo at (0.3333, 0.6667, 0.8554).

***

[3]
Below is an optimized crystal structure of Ni3Mo4, with properties calculated at the PBE level.

The value obtained for the energy above the most stable polymorph in this dataset is 0.000 eV/atom. The value obtained for the size of the total moment is 0.00 μB/f.u. The calculation puts the formation energy at 0.00 eV/f.u. The uncorrected energy is -60.7 eV/f.u.

It has space group P6/mmm (No. 191), with a = 4.7729 Å, b = 4.7729 Å, c = 4.8337 Å, α = 90.00°, β = 90.00° and γ = 120.00°. The asymmetric unit holds Ni at (0.0000, 0.5000, 0.0000), Mo at (0.0000, 0.0000, 0.2594) and Mo at (0.3333, 0.6667, 0.5000).

***

[4]
Below is an optimized crystal structure of Ni2Mo, with properties calculated at the PBE level.

The value obtained for the energy above the most stable polymorph in this dataset is 1.061 eV/atom. The value obtained for the size of the total moment is 0.00 μB/f.u. The calculation puts the formation energy at 2.91 eV/f.u. The uncorrected energy is -19.5 eV/f.u.

It has space group Pa-3 (No. 205), with a = 5.682 Å, b = 5.682 Å, c = 5.682 Å, α = 90.00°, β = 90.00° and γ = 90.00°. The asymmetric unit holds Ni at (0.118, 0.118, 0.118) and Mo at (0.000, 0.000, 0.500).

***

[5]
Below is an optimized crystal structure of Ni4Mo5, with properties calculated at the PBE level.

The value obtained for the energy above the most stable polymorph in this dataset is 0.043 eV/atom. The value obtained for the size of the total moment is 0.00 μB/f.u. The calculation puts the formation energy at 0.95 eV/f.u. The uncorrected energy is -76.3 eV/f.u.

It has space group P6_3/mcm (No. 193), with a = 7.3590 Å, b = 7.3590 Å, c = 5.2729 Å, α = 90.00°, β = 90.00° and γ = 120.00°. The asymmetric unit holds Ni at (0.0000, 0.0000, 0.0000), Ni at (0.0000, 0.3285, 0.2500), Mo at (0.0000, 0.3330, 0.7500) and Mo at (0.3333, 0.6667, 0.0000).

***

[6]
Below is an optimized crystal structure of Ni5Mo4, with properties calculated at the PBE level.

The value obtained for the energy above the most stable polymorph in this dataset is 0.000 eV/atom. The value obtained for the size of the total moment is 0.00 μB/f.u. The calculation puts the formation energy at 0.34 eV/f.u. The uncorrected energy is -71.9 eV/f.u.

It has space group I4/mmm (No. 139), with a = 8.252 Å, b = 8.252 Å, c = 3.463 Å, α = 90.00°, β = 90.00° and γ = 90.00°. The asymmetric unit holds Ni at (0.000, 0.000, 0.000), Ni at (0.164, 0.164, 0.500) and Mo at (0.000, 0.324, 0.000).